(1)
The following is a GGA-PBE calculation of ErCdAg after structural relaxation, from the Alexandria database.

abc: 3.4664 3.4677 11.6622
angles: 90.00 90.01 90.01
Last column: magnetic moment on the atom in μB.
Element x y z (fractional)
Er (0.8725, 0.2909, 0.1465)  0.18
Er (0.3726, 0.7909, 0.3659)  0.18
Cd (0.8720, 0.2915, 0.8409)  0.00
Cd (0.3724, 0.7915, 0.6714)  0.00
Ag (0.8727, 0.2910, 0.5288)  0.00
Ag (0.3723, 0.7910, 0.9835)  0.00

E: -17.37 eV/cell

(2)
The following is a GGA-PBE calculation of Er4CdAg3 after structural relaxation, from the Alexandria database.

abc: 3.6238 5.1451 10.2658
angles: 90.00 90.00 90.00
Element x y z (fractional)
Cd (0.5000, 0.5000, 0.0000)
Ag (0.5000, 0.0000, 0.2472)
Ag (0.5000, 0.5000, 0.5000)
Ag (0.5000, 0.0000, 0.7528)
Er (0.0000, 0.0000, 0.5000)
Er (0.0000, 0.5000, 0.7440)
Er (0.0000, 0.0000, 0.0000)
Er (0.0000, 0.5000, 0.2560)

E: -30.30 eV/cell

(3)
The following is a GGA-PBE calculation of ErCd4Ag after structural relaxation, from the Alexandria database.

abc: 5.7799 5.7799 5.7799
angles: 60.00 60.00 60.00
Element x y z (fractional)
Cd (0.6250, 0.6250, 0.1251)
Cd (0.6250, 0.1251, 0.6250)
Cd (0.6250, 0.6250, 0.6250)
Cd (0.1251, 0.6250, 0.6250)
Ag (0.0000, 0.0000, 0.0000)
Er (0.2500, 0.2500, 0.2500)

Offset from the most stable computed form: 12.2 kJ per mole of atoms

What did the first record say?
The following is a GGA-PBE calculation of ErCdAg after structural relaxation, from the Alexandria database.

abc: 3.4664 3.4677 11.6622
angles: 90.00 90.01 90.01
Last column: magnetic moment on the atom in μB.
Element x y z (fractional)
Er (0.8725, 0.2909, 0.1465)  0.18
Er (0.3726, 0.7909, 0.3659)  0.18
Cd (0.8720, 0.2915, 0.8409)  0.00
Cd (0.3724, 0.7915, 0.6714)  0.00
Ag (0.8727, 0.2910, 0.5288)  0.00
Ag (0.3723, 0.7910, 0.9835)  0.00

E: -17.37 eV/cell